GGA-PBE La4HgGe, optimized geometry; DFT total energy = -54.465 eV/cell; SG = No. 15; DFT formation energy = -434 meV/atom; offset from the most stable computed form = 0.017 eV per atom
1.0
4.576 -6.837 0.000
4.576 6.837 0.000
-2.109 0.000 6.013
La Hg Ge
8 2 2
Direct
0.079 0.706 0.935
0.214 0.373 0.629
0.294 0.921 0.565
0.373 0.214 0.129
0.627 0.786 0.871
0.706 0.079 0.435
0.786 0.627 0.371
0.921 0.294 0.065
0.381 0.619 0.250
0.619 0.381 0.750
0.003 0.997 0.250
0.997 0.003 0.750